1.
A crystal of Tb2IrRh relaxed with PBEsol. Source: the Alexandria database, functional meta-GGA SCAN.

Output
E_form   -0.99 eV per atom
Space-group type   No. 225

Unit cell a=4.790 b=4.790 c=4.790 alpha=60.00 beta=60.00 gamma=60.00
Positions (direct):
Tb 0.750 0.750 0.750
Tb 0.250 0.250 0.250
Rh 0.000 0.000 0.000
Ir 0.500 0.500 0.500

=====

2.
A crystal of Y2SiAu relaxed with PBEsol. Source: the Alexandria database, functional meta-GGA SCAN.

Output
Space-group type   No. 160
E_tot   -34.44 eV/atom

Unit cell a=4.245 b=4.245 c=6.602 alpha=71.25 beta=71.25 gamma=60.00
Site moments in Bohr magnetons follow the coordinates.
Positions (direct):
Y 0.973 0.973 0.081  0.07
Y 0.777 0.777 0.668  0.08
Au 0.558 0.558 0.326  0.01
Si 0.192 0.192 0.425  0.01

=====

3.
A crystal of GaNi2HPb relaxed with PBEsol. Source: the Alexandria database, functional meta-GGA SCAN.

Output
Space-group type   No. 123
E_tot   -25.10 eV/atom

Unit cell a=3.348 b=4.579 c=4.579 alpha=90.00 beta=90.00 gamma=90.00
Positions (direct):
Ga 0.000 0.000 0.000
Pb 0.500 0.500 0.500
Ni 0.000 0.500 0.000
Ni 0.000 0.000 0.500
H 0.500 0.000 0.000